1.
The following is a DFT calculation (PBE) of crystalline Pu2Si4PtRh3 at its relaxed geometry.

abc: 4.109 4.109 10.055
angles: 90.00 90.00 90.00
Positions (direct):
Pu: 0.500 0.000 0.241
Pu: 0.000 0.500 0.759
Rh: 0.000 0.000 0.500
Rh: 0.500 0.000 0.874
Rh: 0.000 0.500 0.126
Si: 0.500 0.500 0.000
Si: 0.000 0.500 0.364
Si: 0.500 0.000 0.636
Si: 0.000 0.000 0.000
Pt: 0.500 0.500 0.500

Values from the calculation:
Uncorrected energy, eV per cell: -86.98
Formation energy from raw total energies, eV/atom: -0.853



2.
The following is a DFT calculation (PBE) of crystalline HIrOs at its relaxed geometry.

abc: 2.733 4.422 6.366
angles: 61.73 102.41 90.02
Positions (direct):
Ir: 0.231 0.310 0.779
Ir: 0.087 0.000 0.491
H: 0.924 0.283 0.162
H: 0.396 0.027 0.108
Os: 0.512 0.609 0.341
Os: 0.806 0.701 0.929

Values from the calculation:
Uncorrected energy, eV per cell: -45.29



3.
The following is a DFT calculation (PBE) of crystalline TiBiSe2 at its relaxed geometry.

abc: 9.314 9.314 9.314
angles: 21.99 21.99 21.99
Positions (direct):
Se: 0.890 0.890 0.890
Se: 0.110 0.110 0.110
Bi: 0.000 0.000 0.000
Ti: 0.500 0.500 0.500

Values from the calculation:
Uncorrected energy, eV per cell: -21.91
Formation energy from raw total energies, eV/atom: -0.791



4.
The following is a DFT calculation (PBE) of crystalline ZrOs2Se at its relaxed geometry.

abc: 5.466 5.466 2.995
angles: 75.68 75.68 120.29
Positions (direct):
Zr: 0.000 0.500 0.500
Os: 0.500 0.500 0.000
Os: 0.000 0.000 0.000
Se: 0.500 0.000 0.500

Values from the calculation:
Uncorrected energy, eV per cell: -33.56
Formation energy from raw total energies, eV/atom: 0.232



5.
The following is a DFT calculation (PBE) of crystalline La4Y3ThSe8 at its relaxed geometry.

abc: 8.411 8.455 8.410
angles: 119.82 120.00 90.00
Positions (direct):
La: 0.000 0.000 0.000
La: 0.500 0.000 0.000
La: 0.500 0.000 0.500
La: 0.000 0.000 0.500
Y: 0.500 0.500 0.000
Y: 0.500 0.500 0.500
Y: 0.000 0.500 0.500
Se: 0.752 0.264 0.012
Se: 0.744 0.732 0.488
Se: 0.261 0.264 0.012
Se: 0.752 0.264 0.504
Se: 0.256 0.268 0.512
Se: 0.248 0.736 0.496
Se: 0.248 0.736 0.988
Se: 0.739 0.736 0.988
Th: 0.000 0.500 0.000

Values from the calculation:
Uncorrected energy, eV per cell: -104.05
Formation energy from raw total energies, eV/atom: -1.853



6.
The following is a DFT calculation (PBE) of crystalline SnHg7Pb3 at its relaxed geometry.

abc: 3.403 14.946 12.642
angles: 90.00 90.00 96.54
Positions (direct):
Hg: 0.496 0.992 0.376
Hg: 0.504 0.008 0.624
Hg: 0.649 0.298 0.888
Hg: 0.496 0.992 0.124
Hg: 0.351 0.702 0.112
Hg: 0.504 0.008 0.876
Hg: 0.375 0.751 0.750
Hg: 0.649 0.298 0.612
Hg: 0.625 0.249 0.250
Hg: 0.351 0.702 0.388
Hg: 0.293 0.586 0.924
Hg: 0.293 0.586 0.576
Hg: 0.707 0.414 0.424
Hg: 0.707 0.414 0.076
Sn: 0.922 0.844 0.250
Sn: 0.078 0.156 0.750
Pb: 0.084 0.167 0.454
Pb: 0.084 0.167 0.046
Pb: 0.916 0.833 0.954
Pb: 0.916 0.833 0.546
Pb: 0.777 0.555 0.250
Pb: 0.223 0.445 0.750

Values from the calculation:
Energy of formation from the pure elements, meV/atom: 54
Uncorrected energy, eV per cell: -33.29



7.
The following is a DFT calculation (PBE) of crystalline NaBe2As2O6 at its relaxed geometry.

abc: 4.986 6.012 6.392
angles: 109.06 85.14 72.06
Positions (direct):
As: 0.818 0.382 0.751
As: 0.182 0.618 0.249
O: 0.531 0.672 0.811
O: 0.143 0.441 0.723
O: 0.802 0.220 0.463
O: 0.469 0.328 0.189
O: 0.198 0.780 0.537
O: 0.857 0.559 0.277
Be: 0.271 0.638 0.701
Be: 0.729 0.362 0.299
Na: 0.500 0.000 0.500

Values from the calculation:
Uncorrected energy, eV per cell: -65.88
Formation energy from raw total energies, eV/atom: -1.642



8.
The following is a DFT calculation (PBE) of crystalline NbF at its relaxed geometry.

abc: 2.861 2.861 7.938
angles: 90.00 90.00 120.00
Positions (direct):
F: 0.333 0.667 0.398
F: 0.667 0.333 0.898
Nb: 0.333 0.667 0.684
Nb: 0.667 0.333 0.184

Values from the calculation:
Uncorrected energy, eV per cell: -28.44
Formation energy from raw total energies, eV/atom: -1.139



9.
The following is a DFT calculation (PBE) of crystalline ZnSi2Mo at its relaxed geometry.

abc: 4.740 4.740 4.740
angles: 137.66 126.93 70.12
Positions (direct):
Mo: 0.250 0.750 0.500
Si: 0.995 0.995 0.000
Si: 0.505 0.505 0.000
Zn: 0.750 0.250 0.500

Values from the calculation:
Uncorrected energy, eV per cell: -22.88
Formation energy from raw total energies, eV/atom: 0.018



10.
The following is a DFT calculation (PBE) of crystalline Lu4MgRh at its relaxed geometry.

abc: 9.509 9.509 9.509
angles: 60.00 60.00 60.00
Positions (direct):
Mg: 0.580 0.580 0.261
Mg: 0.580 0.580 0.580
Mg: 0.580 0.261 0.580
Mg: 0.261 0.580 0.580
Lu: 0.812 0.188 0.812
Lu: 0.188 0.188 0.812
Lu: 0.565 0.935 0.565
Lu: 0.812 0.812 0.188
Lu: 0.347 0.347 0.347
Lu: 0.188 0.812 0.812
Lu: 0.960 0.347 0.347
Lu: 0.812 0.188 0.188
Lu: 0.565 0.565 0.935
Lu: 0.935 0.935 0.565
Lu: 0.935 0.565 0.935
Lu: 0.565 0.935 0.935
Lu: 0.935 0.565 0.565
Lu: 0.347 0.347 0.960
Lu: 0.347 0.960 0.347
Lu: 0.188 0.812 0.188
Rh: 0.141 0.141 0.576
Rh: 0.141 0.141 0.141
Rh: 0.576 0.141 0.141
Rh: 0.141 0.576 0.141

Values from the calculation:
Energy of formation from the pure elements, meV/atom: -425
Uncorrected energy, eV per cell: -118.33



11.
The following is a DFT calculation (PBE) of crystalline Zr2ScPb at its relaxed geometry.

abc: 4.323 4.319 10.679
angles: 101.62 90.00 90.00
Positions (direct):
Zr: 0.250 0.556 0.113
Zr: 0.750 0.444 0.887
Zr: 0.250 0.945 0.891
Zr: 0.750 0.055 0.109
Pb: 0.250 0.168 0.338
Pb: 0.750 0.832 0.662
Sc: 0.250 0.313 0.624
Sc: 0.750 0.687 0.376

Values from the calculation:
Energy of formation from the pure elements, meV/atom: -275
Uncorrected energy, eV per cell: -56.47



12.
The following is a DFT calculation (PBE) of crystalline Pm3Sc4Hg8 at its relaxed geometry.

abc: 10.207 10.207 10.207
angles: 60.00 60.00 60.00
Positions (direct):
Hg: 0.864 0.864 0.864
Hg: 0.637 0.637 0.090
Hg: 0.637 0.637 0.637
Hg: 0.363 0.363 0.910
Hg: 0.910 0.363 0.363
Hg: 0.592 0.136 0.136
Hg: 0.864 0.864 0.408
Hg: 0.864 0.408 0.864
Hg: 0.408 0.864 0.864
Hg: 0.136 0.136 0.592
Hg: 0.363 0.363 0.363
Hg: 0.090 0.637 0.637
Hg: 0.637 0.090 0.637
Hg: 0.136 0.592 0.136
Hg: 0.136 0.136 0.136
Hg: 0.363 0.910 0.363
Pm: 0.749 0.251 0.251
Pm: 0.749 0.749 0.251
Pm: 0.251 0.749 0.749
Pm: 0.251 0.251 0.749
Pm: 0.251 0.749 0.251
Pm: 0.749 0.251 0.749
Sc: 0.000 0.500 0.000
Sc: 0.500 0.000 0.500
Sc: 0.000 0.000 0.000
Sc: 0.500 0.500 0.500
Sc: 0.500 0.500 0.000
Sc: 0.000 0.500 0.500
Sc: 0.000 0.000 0.500
Sc: 0.500 0.000 0.000

Values from the calculation:
Energy of formation from the pure elements, meV/atom: -363
Uncorrected energy, eV per cell: -94.88



13.
The following is a DFT calculation (PBE) of crystalline Ta3W at its relaxed geometry.

abc: 2.852 2.852 9.221
angles: 90.00 90.00 109.47
Positions (direct):
Ta: 0.000 0.000 0.493
Ta: 0.500 0.500 0.750
Ta: 0.000 0.000 0.007
W: 0.500 0.500 0.250

Values from the calculation:
Energy of formation from the pure elements, meV/atom: -29
Uncorrected energy, eV per cell: -48.63



14.
The following is a DFT calculation (PBE) of crystalline Ca2Zn4Si3Au at its relaxed geometry.

abc: 4.145 4.145 10.839
angles: 90.00 90.00 90.00
Positions (direct):
Zn: 0.500 0.000 0.643
Zn: 0.000 0.000 0.000
Zn: 0.000 0.500 0.357
Zn: 0.500 0.500 0.000
Ca: 0.500 0.000 0.247
Ca: 0.000 0.500 0.753
Si: 0.500 0.000 0.865
Si: 0.000 0.500 0.135
Si: 0.000 0.000 0.500
Au: 0.500 0.500 0.500

Values from the calculation:
Uncorrected energy, eV per cell: -31.88
Formation energy from raw total energies, eV/atom: -0.323



15.
The following is a DFT calculation (PBE) of crystalline SrLiCaGe at its relaxed geometry.

abc: 5.363 5.363 5.363
angles: 60.00 60.00 60.00
Positions (direct):
Sr: 0.750 0.750 0.750
Li: 0.000 0.000 0.000
Ca: 0.250 0.250 0.250
Ge: 0.500 0.500 0.500

Values from the calculation:
Energy of formation from the pure elements, meV/atom: -349
Uncorrected energy, eV per cell: -11.61



16.
The following is a DFT calculation (PBE) of crystalline CoW at its relaxed geometry.

abc: 6.135 7.738 9.435
angles: 90.00 90.00 90.00
Positions (direct):
W: 0.250 0.456 0.250
W: 0.500 0.706 0.500
W: 0.500 0.206 0.000
W: 0.500 0.794 0.000
W: 0.750 0.456 0.750
W: 0.000 0.294 0.000
W: 0.750 0.044 0.750
W: 0.750 0.544 0.250
W: 0.250 0.044 0.250
W: 0.250 0.544 0.750
W: 0.000 0.206 0.500
W: 0.500 0.294 0.500
W: 0.000 0.794 0.500
W: 0.000 0.706 0.000
W: 0.250 0.956 0.750
W: 0.750 0.956 0.250
Co: 0.060 0.750 0.250
Co: 0.810 0.500 0.500
Co: 0.310 0.000 0.500
Co: 0.940 0.250 0.250
Co: 0.440 0.750 0.250
Co: 0.060 0.250 0.750
Co: 0.690 0.500 0.000
Co: 0.810 0.000 0.000
Co: 0.190 0.500 0.500
Co: 0.690 0.000 0.500
Co: 0.560 0.750 0.750
Co: 0.310 0.500 0.000
Co: 0.440 0.250 0.750
Co: 0.190 0.000 0.000
Co: 0.560 0.250 0.250
Co: 0.940 0.750 0.750

Values from the calculation:
Energy of formation from the pure elements, meV/atom: 564
Uncorrected energy, eV per cell: -302.91



17.
The following is a DFT calculation (PBE) of crystalline Ba3CdRh at its relaxed geometry.

abc: 6.043 6.043 6.043
angles: 90.00 90.00 90.00
Positions (direct):
Ba: 0.500 0.000 0.000
Ba: 0.000 0.500 0.000
Ba: 0.000 0.000 0.500
Rh: 0.000 0.000 0.000
Cd: 0.500 0.500 0.500

Values from the calculation:
Energy of formation from the pure elements, meV/atom: -162
Uncorrected energy, eV per cell: -14.85



18.
The following is a DFT calculation (PBE) of crystalline KNaY2Ir at its relaxed geometry.

abc: 5.358 6.539 5.358
angles: 90.00 90.00 90.00
Positions (direct):
Y: 0.000 0.000 0.500
Y: 0.500 0.000 0.000
Ir: 0.000 0.000 0.000
Na: 0.500 0.500 0.500
K: 0.000 0.500 0.000

Values from the calculation:
Energy of formation from the pure elements, meV/atom: 29
Uncorrected energy, eV per cell: -24.06



19.
The following is a DFT calculation (PBE) of crystalline KAlSb2I at its relaxed geometry.

abc: 6.209 6.209 6.369
angles: 90.00 90.00 90.00
Positions (direct):
Sb: 0.500 0.000 0.000
Sb: 0.000 0.500 0.000
K: 0.000 0.000 0.000
I: 0.000 0.000 0.500
Al: 0.500 0.500 0.500

Values from the calculation:
Uncorrected energy, eV per cell: -9.88
Formation energy from raw total energies, eV/atom: 0.951



20.
The following is a DFT calculation (PBE) of crystalline CaPd4Au8 at its relaxed geometry.

abc: 5.599 7.156 7.156
angles: 81.19 66.97 66.97
Positions (direct):
Au: 0.000 0.662 0.338
Au: 0.280 0.220 0.220
Au: 0.500 0.780 0.220
Au: 0.662 0.338 0.338
Au: 0.500 0.220 0.780
Au: 0.338 0.662 0.662
Au: 0.000 0.338 0.662
Au: 0.720 0.780 0.780
Ca: 0.000 0.000 0.000
Pd: 0.000 0.500 0.000
Pd: 0.500 0.000 0.500
Pd: 0.000 0.000 0.500
Pd: 0.500 0.500 0.000

Values from the calculation:
Energy of formation from the pure elements, meV/atom: -238
Uncorrected energy, eV per cell: -52.09



21.
The following is a DFT calculation (PBE) of crystalline BaTa2Mn at its relaxed geometry.

abc: 4.911 4.911 6.762
angles: 82.05 82.05 38.78
Positions (direct):
Ba: 0.484 0.484 0.511
Ta: 0.271 0.271 0.132
Ta: 0.013 0.013 0.980
Mn: 0.733 0.733 0.876

Values from the calculation:
Energy of formation from the pure elements, meV/atom: 774
Uncorrected energy, eV per cell: -31.70